# LaCuPt (PBEsol, optimized geometry)
data_LaCuPt
_chemical_formula_sum 'La1 Cu1 Pt1'
_symmetry_space_group_name_H-M 'P 1'
_symmetry_Int_Tables_number 1
_symmetry_space_group_name_Hall 'P 1'
_cell_length_a 4.3364
_cell_length_b 4.3364
_cell_length_c 3.8312
_cell_angle_alpha 90.00
_cell_angle_beta 90.00
_cell_angle_gamma 120.00
loop_
_atom_site_label
_atom_site_type_symbol
_atom_site_fract_x
_atom_site_fract_y
_atom_site_fract_z
La1 La 0.0000 0.0000 0.0000
Cu1 Cu 0.6667 0.3333 0.5000
Pt1 Pt 0.3333 0.6667 0.5000
# DOS at the Fermi energy, states/eV/f.u.: 1.53
# Energy of formation, eV per atom: -0.679
# Symmetry: P-6m2, No. 187


# LaCuPt2 (PBEsol, optimized geometry)
data_LaCuPt2
_chemical_formula_sum 'La1 Cu1 Pt2'
_symmetry_space_group_name_H-M 'P 1'
_symmetry_Int_Tables_number 1
_symmetry_space_group_name_Hall 'P 1'
_cell_length_a 5.4363
_cell_length_b 5.4363
_cell_length_c 5.4363
_cell_angle_alpha 46.98
_cell_angle_beta 46.98
_cell_angle_gamma 46.98
loop_
_atom_site_label
_atom_site_type_symbol
_atom_site_fract_x
_atom_site_fract_y
_atom_site_fract_z
La1 La 0.0000 0.0000 0.0000
Cu1 Cu 0.5000 0.5000 0.5000
Pt1 Pt 0.2063 0.2063 0.2063
Pt2 Pt 0.7937 0.7937 0.7937
# DOS at the Fermi energy, states/eV/f.u.: 1.68
# Energy of formation, eV per atom: -0.674
# Symmetry: R-3m, No. 166


# La2CuPt (PBEsol, optimized geometry)
data_La2CuPt
_chemical_formula_sum 'La2 Cu1 Pt1'
_symmetry_space_group_name_H-M 'P 1'
_symmetry_Int_Tables_number 1
_symmetry_space_group_name_Hall 'P 1'
_cell_length_a 5.0751
_cell_length_b 5.0751
_cell_length_c 3.6065
_cell_angle_alpha 90.00
_cell_angle_beta 90.00
_cell_angle_gamma 90.00
loop_
_atom_site_label
_atom_site_type_symbol
_atom_site_fract_x
_atom_site_fract_y
_atom_site_fract_z
La1 La 0.0000 0.5000 0.0000
La2 La 0.5000 0.0000 0.0000
Cu1 Cu 0.0000 0.0000 0.5000
Pt1 Pt 0.5000 0.5000 0.5000
# DOS at the Fermi energy, states/eV/f.u.: 3.66
# Energy of formation, eV per atom: -0.547
# Symmetry: P4/mmm, No. 123


# LaCu2Rh (PBEsol, optimized geometry)
data_LaCu2Rh
_chemical_formula_sum 'La1 Cu2 Rh1'
_symmetry_space_group_name_H-M 'P 1'
_symmetry_Int_Tables_number 1
_symmetry_space_group_name_Hall 'P 1'
_cell_length_a 5.3637
_cell_length_b 5.3637
_cell_length_c 5.3637
_cell_angle_alpha 46.07
_cell_angle_beta 46.07
_cell_angle_gamma 46.07
loop_
_atom_site_label
_atom_site_type_symbol
_atom_site_fract_x
_atom_site_fract_y
_atom_site_fract_z
La1 La 0.0000 0.0000 0.0000
Cu1 Cu 0.1978 0.1978 0.1978
Cu2 Cu 0.5022 0.5022 0.5022
Rh1 Rh 0.7942 0.7942 0.7942
# DOS at the Fermi energy, states/eV/f.u.: 2.30
# Energy of formation, eV per atom: -0.252
# Symmetry: R3m, No. 160


# LaCu2Rh (PBEsol, optimized geometry)
data_LaCu2Rh
_chemical_formula_sum 'La1 Cu2 Rh1'
_symmetry_space_group_name_H-M 'P 1'
_symmetry_Int_Tables_number 1
_symmetry_space_group_name_Hall 'P 1'
_cell_length_a 3.9337
_cell_length_b 3.9337
_cell_length_c 4.3231
_cell_angle_alpha 90.00
_cell_angle_beta 90.00
_cell_angle_gamma 90.00
loop_
_atom_site_label
_atom_site_type_symbol
_atom_site_fract_x
_atom_site_fract_y
_atom_site_fract_z
La1 La 0.0000 0.0000 0.0000
Cu1 Cu 0.0000 0.5000 0.5000
Cu2 Cu 0.5000 0.0000 0.5000
Rh1 Rh 0.5000 0.5000 0.0000
# DOS at the Fermi energy, states/eV/f.u.: 1.27
# Energy of formation, eV per atom: -0.116
# Symmetry: P4/mmm, No. 123


# La2CuRh (PBEsol, optimized geometry)
data_La2CuRh
_chemical_formula_sum 'La2 Cu1 Rh1'
_symmetry_space_group_name_H-M 'P 1'
_symmetry_Int_Tables_number 1
_symmetry_space_group_name_Hall 'P 1'
_cell_length_a 4.9717
_cell_length_b 4.9717
_cell_length_c 3.6188
_cell_angle_alpha 90.00
_cell_angle_beta 90.00
_cell_angle_gamma 90.00
loop_
_atom_site_label
_atom_site_type_symbol
_atom_site_fract_x
_atom_site_fract_y
_atom_site_fract_z
La1 La 0.0000 0.5000 0.0000
La2 La 0.5000 0.0000 0.0000
Cu1 Cu 0.0000 0.0000 0.5000
Rh1 Rh 0.5000 0.5000 0.5000
# DOS at the Fermi energy, states/eV/f.u.: 3.03
# Energy of formation, eV per atom: -0.346
# Symmetry: P4/mmm, No. 123


# LaCu4Rh (PBEsol, optimized geometry)
data_LaCu4Rh
_chemical_formula_sum 'La1 Cu4 Rh1'
_symmetry_space_group_name_H-M 'P 1'
_symmetry_Int_Tables_number 1
_symmetry_space_group_name_Hall 'P 1'
_cell_length_a 4.9882
_cell_length_b 4.9882
_cell_length_c 4.9882
_cell_angle_alpha 60.00
_cell_angle_beta 60.00
_cell_angle_gamma 60.00
loop_
_atom_site_label
_atom_site_type_symbol
_atom_site_fract_x
_atom_site_fract_y
_atom_site_fract_z
La1 La 0.0000 0.0000 0.0000
Cu1 Cu 0.3767 0.3767 0.3767
Cu2 Cu 0.3767 0.3767 0.8700
Cu3 Cu 0.3767 0.8700 0.3767
Cu4 Cu 0.8700 0.3767 0.3767
Rh1 Rh 0.7500 0.7500 0.7500
# DOS at the Fermi energy, states/eV/f.u.: 3.28
# Energy of formation, eV per atom: -0.147
# Symmetry: F-43m, No. 216


# La2CuRh (PBEsol, optimized geometry)
data_La2CuRh
_chemical_formula_sum 'La2 Cu1 Rh1'
_symmetry_space_group_name_H-M 'P 1'
_symmetry_Int_Tables_number 1
_symmetry_space_group_name_Hall 'P 1'
_cell_length_a 4.4304
_cell_length_b 5.6239
_cell_length_c 5.6239
_cell_angle_alpha 41.37
_cell_angle_beta 90.00
_cell_angle_gamma 90.00
loop_
_atom_site_label
_atom_site_type_symbol
_atom_site_fract_x
_atom_site_fract_y
_atom_site_fract_z
La1 La 0.0000 0.0000 0.0000
La2 La 0.5000 0.2770 0.2770
Cu1 Cu 0.5000 0.5682 0.5682
Rh1 Rh 0.0000 0.7270 0.7270
# DOS at the Fermi energy, states/eV/f.u.: 2.89
# Energy of formation, eV per atom: -0.415
# Symmetry: Amm2, No. 38


# LaCuRu2 (PBEsol, optimized geometry)
data_LaCuRu2
_chemical_formula_sum 'La1 Cu1 Ru2'
_symmetry_space_group_name_H-M 'P 1'
_symmetry_Int_Tables_number 1
_symmetry_space_group_name_Hall 'P 1'
_cell_length_a 4.5510
_cell_length_b 4.5510
_cell_length_c 4.5510
_cell_angle_alpha 60.00
_cell_angle_beta 60.00
_cell_angle_gamma 60.00
loop_
_atom_site_label
_atom_site_type_symbol
_atom_site_fract_x
_atom_site_fract_y
_atom_site_fract_z
La1 La 0.0000 0.0000 0.0000
Cu1 Cu 0.7500 0.7500 0.7500
Ru1 Ru 0.2500 0.2500 0.2500
Ru2 Ru 0.5000 0.5000 0.5000
# DOS at the Fermi energy, states/eV/f.u.: 4.71
# Energy of formation, eV per atom: 0.385
# Symmetry: F-43m, No. 216


# LaCuRu2 (PBEsol, optimized geometry)
data_LaCuRu2
_chemical_formula_sum 'La1 Cu1 Ru2'
_symmetry_space_group_name_H-M 'P 1'
_symmetry_Int_Tables_number 1
_symmetry_space_group_name_Hall 'P 1'
_cell_length_a 5.5551
_cell_length_b 5.5551
_cell_length_c 5.5551
_cell_angle_alpha 44.97
_cell_angle_beta 44.97
_cell_angle_gamma 44.97
loop_
_atom_site_label
_atom_site_type_symbol
_atom_site_fract_x
_atom_site_fract_y
_atom_site_fract_z
La1 La 0.0000 0.0000 0.0000
Cu1 Cu 0.7993 0.7993 0.7993
Ru1 Ru 0.1917 0.1917 0.1917
Ru2 Ru 0.5165 0.5165 0.5165
# DOS at the Fermi energy, states/eV/f.u.: 3.25
# Energy of formation, eV per atom: 0.033
# Symmetry: R3m, No. 160


# LaCuRu2 (PBEsol, optimized geometry)
data_LaCuRu2
_chemical_formula_sum 'La1 Cu1 Ru2'
_symmetry_space_group_name_H-M 'P 1'
_symmetry_Int_Tables_number 1
_symmetry_space_group_name_Hall 'P 1'
_cell_length_a 2.9090
_cell_length_b 2.9090
_cell_length_c 7.7863
_cell_angle_alpha 90.00
_cell_angle_beta 90.00
_cell_angle_gamma 90.00
loop_
_atom_site_label
_atom_site_type_symbol
_atom_site_fract_x
_atom_site_fract_y
_atom_site_fract_z
La1 La 0.0000 0.0000 0.0000
Cu1 Cu 0.5000 0.5000 0.7100
Ru1 Ru 0.0000 0.0000 0.5041
Ru2 Ru 0.5000 0.5000 0.3099
# DOS at the Fermi energy, states/eV/f.u.: 4.02
# Energy of formation, eV per atom: 0.244
# Symmetry: P4mm, No. 99


# LaCuRu2Se (PBEsol, optimized geometry)
data_LaCuRu2Se
_chemical_formula_sum 'La1 Cu1 Ru2 Se1'
_symmetry_space_group_name_H-M 'P 1'
_symmetry_Int_Tables_number 1
_symmetry_space_group_name_Hall 'P 1'
_cell_length_a 4.5860
_cell_length_b 4.5860
_cell_length_c 4.5465
_cell_angle_alpha 90.00
_cell_angle_beta 90.00
_cell_angle_gamma 90.00
loop_
_atom_site_label
_atom_site_type_symbol
_atom_site_fract_x
_atom_site_fract_y
_atom_site_fract_z
La1 La 0.0000 0.0000 0.0000
Cu1 Cu 0.5000 0.5000 0.0000
Ru1 Ru 0.0000 0.5000 0.5000
Ru2 Ru 0.5000 0.0000 0.5000
Se1 Se 0.5000 0.5000 0.5000
# DOS at the Fermi energy, states/eV/f.u.: 3.73
# E_form (uncorrected), eV/atom: 0.24
# Symmetry: P4/mmm, No. 123